## CuSe (PBE-GGA)

Data for crystalline CuSe at its relaxed geometry.

Output
E in eV per atom: -3.670
SG: Cmmm, No. 65

a b c (Å): 6.9195 6.9195 3.4110
angles (deg): 90.00 90.00 136.12
Fractional positions:
Cu  0.5000  0.0000  0.0000
Cu  0.0000  0.5000  0.0000
Se  0.0000  0.0000  0.0000
Se  0.3452  0.6548  0.5000
Cu  0.5000  0.5000  0.0000
Se  0.6548  0.3452  0.5000